(1)
Material: ReRhCl4
Method: DFT, PBE
State: optimized geometry

Calculated values
**ΔE_f (raw)**: 1.6979 eV/atom
**E**: -2.833 eV per atom
**DOS(E_F)**: 1.60 states/eV/atom
**SG**: No. 216
**Magnetic moment**: 4.37 μB per formula unit

Unit cell a=5.6927 b=5.6927 c=5.6927 alpha=60.00 beta=60.00 gamma=60.00
Fractional coordinates of all 6 atoms:
Cl: 0.8754 0.3749 0.3749
Cl: 0.3749 0.8754 0.3749
Cl: 0.3749 0.3749 0.8754
Rh: 0.0000 0.0000 0.0000
Cl: 0.3749 0.3749 0.3749
Re: 0.7500 0.7500 0.7500

(2)
Material: AcInNi2
Method: DFT, PBE
State: optimized geometry

Calculated values
**Formation energy from the elements**: -245 meV/atom
**E**: -4.847 eV per atom
**DOS(E_F)**: 1.22 states/eV/atom
**SG**: No. 63
**Magnetic moment**: 0.00 μB per formula unit

Unit cell a=6.7338 b=6.7338 c=6.8002 alpha=90.00 beta=90.00 gamma=143.61
Fractional coordinates of all 8 atoms:
Ni: 0.2357 0.7643 0.5783
Ni: 0.7643 0.2357 0.0783
In: 0.6332 0.3668 0.7500
Ac: 0.9051 0.0949 0.7500
Ac: 0.0949 0.9051 0.2500
In: 0.3668 0.6332 0.2500
Ni: 0.7643 0.2357 0.4217
Ni: 0.2357 0.7643 0.9217